No. 1
# Ta4SiOs | Alexandria via LeMat-Bulk | meta-GGA SCAN | single point on PBEsol structure
data_Ta4SiOs
_chemical_formula_sum 'Ta16 Si4 Os4'
_symmetry_space_group_name_H-M 'F -4 3 m'
_symmetry_Int_Tables_number 216
_symmetry_space_group_name_Hall 'F -4 2 3'
_cell_length_a 7.4339
_cell_length_b 7.4339
_cell_length_c 7.4339
_cell_angle_alpha 90.00
_cell_angle_beta 90.00
_cell_angle_gamma 90.00
loop_
_atom_site_label
_atom_site_type_symbol
_atom_site_fract_x
_atom_site_fract_y
_atom_site_fract_z
Ta1 Ta 0.1254 0.1254 0.1254
Si1 Si 0.0000 0.0000 0.5000
Os1 Os 0.2500 0.2500 0.7500
# Raw formation energy: 47.1 kJ per mole of atoms
# E_tot: -4.2299 Ry per atom

No. 2
# Tb2Si5Os3 | Alexandria via LeMat-Bulk | meta-GGA SCAN | single point on PBEsol structure
data_Tb2Si5Os3
_chemical_formula_sum 'Tb8 Si20 Os12'
_symmetry_space_group_name_H-M 'P 4/m n c'
_symmetry_Int_Tables_number 128
_symmetry_space_group_name_Hall '-P 4 2n'
_cell_length_a 10.6614
_cell_length_b 10.6614
_cell_length_c 5.6214
_cell_angle_alpha 90.00
_cell_angle_beta 90.00
_cell_angle_gamma 90.00
loop_
_atom_site_label
_atom_site_type_symbol
_atom_site_fract_x
_atom_site_fract_y
_atom_site_fract_z
Tb1 Tb 0.0705 0.2355 0.0000
Si1 Si 0.0000 0.0000 0.2512
Si2 Si 0.0271 0.3198 0.5000
Si3 Si 0.1729 0.6729 0.2500
Os1 Os 0.0000 0.5000 0.2500
Os2 Os 0.1249 0.8540 0.5000
# Raw formation energy: -77.6 kJ per mole of atoms
# E_tot: -2.6995 Ry per atom

No. 3
# TbSi2Os2 | Alexandria via LeMat-Bulk | meta-GGA SCAN | single point on PBEsol structure
data_TbSi2Os2
_chemical_formula_sum 'Tb2 Si4 Os4'
_symmetry_space_group_name_H-M 'I 4/m m m'
_symmetry_Int_Tables_number 139
_symmetry_space_group_name_Hall '-I 4 2'
_cell_length_a 4.1218
_cell_length_b 4.1218
_cell_length_c 9.6542
_cell_angle_alpha 90.00
_cell_angle_beta 90.00
_cell_angle_gamma 90.00
loop_
_atom_site_label
_atom_site_type_symbol
_atom_site_fract_x
_atom_site_fract_y
_atom_site_fract_z
Tb1 Tb 0.0000 0.0000 0.0000
Si1 Si 0.0000 0.0000 0.3734
Os1 Os 0.0000 0.5000 0.2500
# Raw formation energy: -78.4 kJ per mole of atoms
# E_tot: -3.1548 Ry per atom

No. 4
# SiTc2Os | Alexandria via LeMat-Bulk | meta-GGA SCAN | single point on PBEsol structure
data_SiTc2Os
_chemical_formula_sum 'Si1 Tc2 Os1'
_symmetry_space_group_name_H-M 'P m m m'
_symmetry_Int_Tables_number 47
_symmetry_space_group_name_Hall '-P 2 2'
_cell_length_a 2.9219
_cell_length_b 4.2432
_cell_length_c 4.3593
_cell_angle_alpha 90.00
_cell_angle_beta 90.00
_cell_angle_gamma 90.00
loop_
_atom_site_label
_atom_site_type_symbol
_atom_site_fract_x
_atom_site_fract_y
_atom_site_fract_z
Si1 Si 0.0000 0.0000 0.0000
Tc1 Tc 0.0000 0.5000 0.5000
Tc2 Tc 0.5000 0.0000 0.5000
Os1 Os 0.5000 0.5000 0.0000
# Raw formation energy: -4.5 kJ per mole of atoms
# E_tot: -2.7967 Ry per atom